Dy7Pd2Ru2: optimized geometry, PBE.

Unit cell a=6.6041 b=6.8492 c=6.6041 alpha=90.01 beta=106.87 gamma=89.99
Last column: nearest neighbours and their distance in Å.
Positions (direct):
Ru  0.7099  0.0000  0.2901  6 Dy 2.70-2.82
Ru  0.2901  0.0000  0.7099  6 Dy 2.70-2.82
Pd  0.1875  0.5000  0.1875  1 Pd 2.95, 6 Dy 2.98-3.15
Pd  0.8125  0.5000  0.8125  1 Pd 2.95, 6 Dy 2.98-3.15
Dy  0.0000  0.0000  0.0000  2 Ru 3.08
Dy  0.5000  0.2536  0.5000  2 Ru 2.82, 2 Pd 2.98
Dy  0.5000  0.7464  0.5000  2 Ru 2.82, 2 Pd 2.98
Dy  0.5000  0.7365  0.0000  2 Ru 2.70
Dy  0.0000  0.2635  0.5000  2 Ru 2.70
Dy  0.0000  0.7365  0.5000  2 Ru 2.70
Dy  0.5000  0.2635  0.0000  2 Ru 2.70

**Space group**: Cmmm, No. 65
**Crystal system**: orthorhombic
**DFT total energy**: -65.094 eV for the cell shown

Pu5ReGe5: optimized geometry, PBE.

Unit cell a=5.2152 b=8.4716 c=5.7242 alpha=90.00 beta=90.00 gamma=107.91
Last column: nearest neighbours and their distance in Å.
Positions (direct):
Ge  0.8370  0.6739  0.0001  1 Re 2.63, 2 Ge 2.87-2.88
Ge  0.5000  0.0000  0.0000  2 Re 2.61, 4 Pu 2.91
Ge  0.1799  0.3598  0.5000  2 Ge 2.87-2.88, 7 Pu 2.90-3.01
Ge  0.8201  0.6402  0.5000  2 Ge 2.87-2.88, 7 Pu 2.90-3.01
Ge  0.1630  0.3261  0.9999  1 Re 2.63, 2 Ge 2.87-2.88
Pu  0.3412  0.6824  0.7568  2 Pu 2.79-2.94, 6 Ge 2.91-3.01
Pu  0.6588  0.3175  0.7566  2 Pu 2.79-2.94, 6 Ge 2.91-3.01
Pu  0.3412  0.6825  0.2434  2 Pu 2.79-2.94, 6 Ge 2.91-3.01
Pu  0.6588  0.3176  0.2432  2 Pu 2.79-2.94, 6 Ge 2.91-3.01
Pu  0.0000  0.0000  0.5000  2 Re 2.86, 2 Ge 2.90
Re  0.0000  0.0000  0.0000  4 Ge 2.61-2.63, 2 Pu 2.86

**Space group**: Cmmm, No. 65
**Crystal system**: orthorhombic
**DFT total energy**: -109.151 eV for the cell shown

MgNbAg3: optimized geometry, PBE.

Unit cell a=4.7769 b=4.7769 c=4.7769 alpha=90.00 beta=90.00 gamma=90.00
Last column: nearest neighbours and their distance in Å.
Positions (direct):
Ag  0.0000  0.0000  0.5000  2 Mg 2.39
Ag  0.5000  0.0000  0.0000  2 Mg 2.39
Ag  0.0000  0.5000  0.0000  2 Mg 2.39
Nb  0.5000  0.5000  0.5000  12 Ag 3.38
Mg  0.0000  0.0000  0.0000  6 Ag 2.39

**Space group**: Pm-3m, No. 221
**Crystal system**: cubic
**DFT total energy**: -15.178 eV for the cell shown

SrMgTe2N: optimized geometry, PBE.

Unit cell a=6.1915 b=6.1915 c=4.7964 alpha=90.00 beta=90.00 gamma=90.00
Last column: nearest neighbours and their distance in Å.
Positions (direct):
Te  0.5000  0.0000  0.0000  2 Sr 3.10
Te  0.0000  0.5000  0.0000  2 Sr 3.10
N  0.0000  0.0000  0.5000  2 Sr 2.40
Sr  0.0000  0.0000  0.0000  2 N 2.40
Mg  0.5000  0.5000  0.5000  8 Te 3.92, 4 N 4.38

**Space group**: P4/mmm, No. 123
**Crystal system**: tetragonal
**Formation energy from raw total energies**: 0.5706 eV/atom

RhC3: optimized geometry, PBE.

Unit cell a=2.5337 b=3.2618 c=4.6327 alpha=66.78 beta=90.00 gamma=90.00
Last column: nearest neighbours and their distance in Å.
Positions (direct):
C  0.0000  0.3974  0.8347  1 C 1.46
C  0.0000  0.1026  0.6653  1 C 1.46
C  0.5000  0.7500  0.7500  4 C 1.65
Rh  0.5000  0.2500  0.2500  6 C 2.19-2.25

**Space group**: P2/m, No. 10
**Crystal system**: monoclinic
**DFT total energy**: -29.250 eV for the cell shown

CaCoOs2: optimized geometry, PBE.

Unit cell a=4.4490 b=4.4490 c=4.4490 alpha=60.00 beta=60.00 gamma=60.00
Last column: nearest neighbours and their distance in Å.
Positions (direct):
Ca  0.5000  0.5000  0.5000  4 Co 2.72, 4 Os 2.72
Co  0.2500  0.2500  0.2500  4 Ca 2.72, 4 Os 2.72
Os  0.0000  0.0000  0.0000  4 Co 2.72, 4 Os 2.72
Os  0.7500  0.7500  0.7500  4 Os 2.72, 4 Ca 2.72

**Space group**: F-43m, No. 216
**Crystal system**: cubic
**DFT total energy**: -29.098 eV for the cell shown

Th2NpSi3Rh12: optimized geometry, PBE.

Unit cell a=7.6236 b=7.6236 c=7.6236 alpha=63.37 beta=63.37 gamma=63.37
Last column: nearest neighbours and their distance in Å.
Positions (direct):
Rh  0.1410  0.6113  0.1410  1 Si 2.39, 1 Np 2.53
Rh  0.3600  0.8954  0.3600  2 Si 2.34
Rh  0.8954  0.3600  0.3600  2 Si 2.34
Rh  0.3887  0.8590  0.8590  1 Si 2.39, 1 Np 2.53
Rh  0.1046  0.6400  0.6400  2 Si 2.34
Rh  0.6113  0.1410  0.1410  1 Si 2.39, 1 Np 2.53
Rh  0.1410  0.1410  0.6113  1 Si 2.39, 1 Np 2.53
Rh  0.8590  0.3887  0.8590  1 Si 2.39, 1 Np 2.53
Rh  0.6400  0.6400  0.1046  2 Si 2.34
Rh  0.3600  0.3600  0.8954  2 Si 2.34
Rh  0.8590  0.8590  0.3887  1 Si 2.39, 1 Np 2.53
Rh  0.6400  0.1046  0.6400  2 Si 2.34
Np  0.0000  0.0000  0.0000  6 Rh 2.53
Si  0.0000  0.5000  0.0000  6 Rh 2.34-2.39
Si  0.5000  0.0000  0.0000  6 Rh 2.34-2.39
Si  0.0000  0.0000  0.5000  6 Rh 2.34-2.39
Th  0.3979  0.3979  0.3979  6 Rh 2.73-2.84
Th  0.6021  0.6021  0.6021  6 Rh 2.73-2.84

**Space group**: R-3m, No. 166
**Crystal system**: trigonal
**Formation energy from raw total energies**: -0.3341 eV/atom

SrCuRh: optimized geometry, PBE.

Unit cell a=5.9744 b=5.9677 c=7.7952 alpha=114.43 beta=90.00 gamma=90.00
Last column: nearest neighbours and their distance in Å.
Positions (direct):
Cu  0.6207  0.2061  0.0386  3 Rh 2.51-2.56, 1 Cu 2.70
Cu  0.8793  0.2061  0.5386  3 Rh 2.51-2.56, 1 Cu 2.70
Cu  0.3793  0.7939  0.9614  3 Rh 2.51-2.56, 1 Cu 2.70
Cu  0.1207  0.7939  0.4614  3 Rh 2.51-2.56, 1 Cu 2.70
Sr  0.6287  0.7916  0.6136  5 Rh 3.02-3.30, 5 Cu 3.09-3.26
Sr  0.8713  0.7916  0.1136  5 Rh 3.02-3.30, 5 Cu 3.09-3.26
Sr  0.1287  0.2084  0.8864  5 Rh 3.02-3.30, 5 Cu 3.09-3.26
Sr  0.3713  0.2084  0.3864  5 Rh 3.02-3.30, 5 Cu 3.09-3.26
Rh  0.1059  0.6029  0.6942  3 Cu 2.51-2.56
Rh  0.6059  0.3971  0.8058  3 Cu 2.51-2.56
Rh  0.3941  0.6029  0.1942  3 Cu 2.51-2.56
Rh  0.8941  0.3971  0.3058  3 Cu 2.51-2.56

**Space group**: P2_1/c, No. 14
**Crystal system**: monoclinic
**DFT total energy**: -53.422 eV for the cell shown

Computed size of the total moment, in the same sequence as the records: 0.0000 1.4872 0.4638 0.4868 0.0476 0.5174 0.0832 0.0000 μB per atom.